Compound: Cs2Tl3CdSn4
Source: Alexandria
Functional: PBE
Structure: optimized geometry

Calculated values
volume	351	Å³ per cell
energy of formation	-0.0885	eV/atom
SG	P-4m2, No. 115
E	-2.6617	eV per atom

a = 5.3054 Å, b = 5.3054 Å, c = 12.4865 Å
α = 90.00°, β = 90.00°, γ = 90.00°
Element x y z (fractional)
Sn1 0.0000 0.5000 0.3767
Sn2 0.0000 0.0000 0.0000
Cs1 0.0000 0.5000 0.7467
Cd1 0.5000 0.5000 0.5000
Tl1 0.0000 0.0000 0.5000
Tl2 0.5000 0.0000 0.8650
Sn3 0.5000 0.0000 0.6233
Sn4 0.5000 0.5000 0.0000
Cs2 0.5000 0.0000 0.2533
Tl3 0.0000 0.5000 0.1350



Compound: Cs2Sr2Cd
Source: Alexandria
Functional: PBE
Structure: optimized geometry

Calculated values
volume	646	Å³ per cell
energy of formation	0.0985	eV/atom
SG	P4/mbm, No. 127
E	-1.0987	eV per atom

a = 9.0252 Å, b = 9.0252 Å, c = 7.9280 Å
α = 90.00°, β = 90.00°, γ = 90.00°
Element x y z (fractional)
Sr1 0.1688 0.3312 0.0000
Cs1 0.1793 0.6793 0.5000
Cd1 0.5000 0.5000 0.0000
Sr2 0.8312 0.6688 0.0000
Sr3 0.3312 0.8312 0.0000
Cs2 0.3207 0.1793 0.5000
Cd2 0.0000 0.0000 0.0000
Cs3 0.6793 0.8207 0.5000
Cs4 0.8207 0.3207 0.5000
Sr4 0.6688 0.1688 0.0000



Compound: CsSrCd4
Source: Alexandria
Functional: PBE
Structure: optimized geometry

Calculated values
volume	191	Å³ per cell
energy of formation	-0.0950	eV/atom
SG	F-43m, No. 216
E	-1.1276	eV per atom

a = 6.4649 Å, b = 6.4649 Å, c = 6.4649 Å
α = 60.00°, β = 60.00°, γ = 60.00°
Element x y z (fractional)
Cs1 0.0000 0.0000 0.0000
Cd1 0.6242 0.6242 0.6242
Cd2 0.6242 0.1275 0.6242
Cd3 0.1275 0.6242 0.6242
Sr1 0.2500 0.2500 0.2500
Cd4 0.6242 0.6242 0.1275



Compound: Cs2SrCd
Source: Alexandria
Functional: PBE
Structure: optimized geometry

Calculated values
volume	599	Å³ per cell
energy of formation	0.1416	eV/atom
SG	I-42d, No. 122
ΔE to the lowest computed polymorph	0.000	eV/atom
E	-0.9344	eV per atom

a = 9.9377 Å, b = 9.9377 Å, c = 9.9377 Å
α = 96.92°, β = 96.92°, γ = 139.39°
Element x y z (fractional)
Cd1 0.2500 0.7500 0.5000
Cs1 0.2603 0.3750 0.3853
Cd2 0.0000 0.0000 0.0000
Cs2 0.6250 0.0103 0.8853
Cs3 0.1250 0.7397 0.1147
Cs4 0.9897 0.8750 0.6147
Sr1 0.7500 0.2500 0.5000
Sr2 0.5000 0.5000 0.0000



Compound: CsSr2Cd
Source: Alexandria
Functional: PBE
Structure: optimized geometry

Calculated values
volume	240	Å³ per cell
energy of formation	-0.0154	eV/atom
SG	R3m, No. 160
E	-1.2985	eV per atom

a = 4.8446 Å, b = 4.8446 Å, c = 12.1365 Å
α = 78.49°, β = 78.49°, γ = 60.00°
Element x y z (fractional)
Sr1 0.2816 0.2816 0.1552
Cs1 0.5002 0.5002 0.4995
Cd1 0.6664 0.6664 0.0006
Sr2 0.0518 0.0518 0.8446



Compound: Cs2SrCd
Source: Alexandria
Functional: PBE
Structure: optimized geometry

Calculated values
volume	266	Å³ per cell
energy of formation	0.1927	eV/atom
SG	R-3m, No. 166
ΔE to the lowest computed polymorph	0.051	eV/atom
E	-0.8833	eV per atom

a = 4.5777 Å, b = 4.5777 Å, c = 14.8946 Å
α = 81.16°, β = 81.16°, γ = 60.00°
Element x y z (fractional)
Cs1 0.8985 0.8985 0.3044
Sr1 0.0000 0.0000 0.0000
Cs2 0.1015 0.1015 0.6956
Cd1 0.5000 0.5000 0.5000



Question: Which formula does entry 5 have?
Answer: CsSr2Cd



Question: Among the records above, which one has the highest volume?
Answer: Cs2Sr2Cd



Question: Which formula does entry 4 have?
Answer: Cs2SrCd